PrGd3P: optimized geometry, PBE.

a = 5.469 Å, b = 5.469 Å, c = 5.469 Å
α = 90.00°, β = 90.00°, γ = 90.00°
Space group Pm-3m (No. 221)
Symmetry-distinct sites (fractional):
Pr 0.000 0.000 0.000 [1 per cell]
Gd 0.000 0.500 0.500 [3 per cell]
P 0.500 0.500 0.500 [1 per cell]

Output
* final energy: -10.937 eV per atom
* DFT formation energy: -0.45 eV/atom

=====

GdPPt: optimized geometry, PBE.

a = 4.1487 Å, b = 4.1487 Å, c = 3.9511 Å
α = 90.00°, β = 90.00°, γ = 120.00°
Space group P-6m2 (No. 187)
Symmetry-distinct sites (fractional):
Gd 0.0000 0.0000 0.0000 [1 per cell]
P 0.6667 0.3333 0.5000 [1 per cell]
Pt 0.3333 0.6667 0.5000 [1 per cell]

Output
* final energy: -9.873 eV per atom
* DFT formation energy: -1.36 eV/atom

=====

GdReP2: optimized geometry, PBE.

a = 3.1643 Å, b = 3.1643 Å, c = 27.0661 Å
α = 90.00°, β = 90.00°, γ = 120.00°
Space group R-3m (No. 166, hexagonal axes)
Symmetry-distinct sites (fractional):
Gd 0.0000 0.0000 0.0000 [3 per cell]
Re 0.0000 0.0000 0.5000 [3 per cell]
P 0.0000 0.0000 0.1063 [6 per cell]

Output
* final energy: -9.383 eV per atom
* DFT formation energy: -0.05 eV/atom

=====

GdP2Rh: optimized geometry, PBE.

a = 3.8762 Å, b = 3.8762 Å, c = 16.2020 Å
α = 90.00°, β = 90.00°, γ = 120.00°
Space group R-3m (No. 166, hexagonal axes)
Symmetry-distinct sites (fractional):
Gd 0.0000 0.0000 0.0000 [3 per cell]
P 0.0000 0.0000 0.2291 [6 per cell]
Rh 0.0000 0.0000 0.5000 [3 per cell]

Output
* final energy: -9.120 eV per atom
* DFT formation energy: -1.06 eV/atom

=====

| no. | volume (Å³ per atom) |
| --- | --- |
| 1 | 32.7 |
| 2 | 19.6 |
| 3 | 19.6 |
| 4 | 17.6 |